1.
SrZr2Si | GGA-PBE | relaxed

Unit cell a=3.2445 b=3.2445 c=9.6239 alpha=90.00 beta=90.00 gamma=98.16
With the nearest neighbours (Å) after each atom.
Positions (direct):
Sr  0.0000  0.0000  0.0000  4 Sr 3.24
Zr  0.5000  0.5000  0.3229  4 Si 2.72-2.99
Zr  0.5000  0.5000  0.6771  4 Si 2.72-2.99
Si  0.0000  0.0000  0.5000  8 Zr 2.72-2.99

Values from the calculation:
As for the symmetry: Cmmm, No. 65. The calculated total energy is -6.036 eV/atom.

2.
SrZr2Si | GGA-PBE | relaxed

Unit cell a=9.5219 b=9.5219 c=9.5219 alpha=22.76 beta=22.76 gamma=22.76
With the nearest neighbours (Å) after each atom.
Positions (direct):
Sr  0.0000  0.0000  0.0000  6 Sr 3.76, 6 Zr 3.83
Zr  0.2197  0.2197  0.2197  3 Si 2.62
Zr  0.7803  0.7803  0.7803  3 Si 2.62
Si  0.5000  0.5000  0.5000  6 Zr 2.62

Values from the calculation:
As for the symmetry: R-3m, No. 166. The calculated total energy is -6.071 eV/atom.

3.
Sr2Zr2Si | GGA-PBE | relaxed

Unit cell a=7.9804 b=7.9804 c=4.9006 alpha=90.00 beta=90.00 gamma=90.00
With the nearest neighbours (Å) after each atom.
Positions (direct):
Sr  0.1607  0.3393  0.0000  2 Si 3.00
Sr  0.3393  0.8393  0.0000  2 Si 3.00
Sr  0.6607  0.1607  0.0000  2 Si 3.00
Sr  0.8393  0.6607  0.0000  2 Si 3.00
Zr  0.1341  0.6341  0.5000  1 Zr 3.03, 2 Sr 3.37
Zr  0.3659  0.1341  0.5000  1 Zr 3.03, 2 Sr 3.37
Zr  0.6341  0.8659  0.5000  1 Zr 3.03, 2 Sr 3.37
Zr  0.8659  0.3659  0.5000  1 Zr 3.03, 2 Sr 3.37
Si  0.0000  0.0000  0.0000  4 Sr 3.00
Si  0.5000  0.5000  0.0000  4 Sr 3.00

Values from the calculation:
As for the symmetry: P4/mbm, No. 127. The calculated total energy is -4.280 eV/atom. The energy above the most stable polymorph in this dataset comes out at 0.5418 eV/atom.

Number 1: formation energy from raw total energies 0.33 kcal/mol of atoms. Number 2: formation energy from raw total energies -0.47 kcal/mol of atoms. Number 3: formation energy from raw total energies 20.69 kcal/mol of atoms.